Entry 1:
DFT (PBE) results for a geometry-optimized Tb3Dy2Tm6Th structure.

a b c (Å): 6.1095 6.1095 11.6457
angles (deg): 95.02 95.02 119.97
With the nearest neighbours (Å) after each atom.
Fractional coordinates of all 12 atoms:
1 Tm 0.2462 0.2462 0.7508  6 Tm 3.49-3.55, 1 Th 3.50, 2 Dy 3.52, 3 Tb 3.52-3.54
2 Tm 0.9163 0.5863 0.7507  6 Tm 3.49-3.55, 1 Th 3.50, 2 Dy 3.51-3.52, 3 Tb 3.52-3.53
3 Tm 0.7538 0.7538 0.2492  6 Tm 3.49-3.55, 1 Th 3.50, 2 Dy 3.52, 3 Tb 3.52-3.54
4 Tm 0.5863 0.9163 0.7507  6 Tm 3.49-3.55, 1 Th 3.50, 2 Dy 3.51-3.52, 3 Tb 3.52-3.53
5 Tm 0.0837 0.4137 0.2493  6 Tm 3.49-3.55, 1 Th 3.50, 2 Dy 3.51-3.52, 3 Tb 3.52-3.53
6 Tm 0.4137 0.0837 0.2493  6 Tm 3.49-3.55, 1 Th 3.50, 2 Dy 3.51-3.52, 3 Tb 3.52-3.53
7 Tb 0.8327 0.1673 0.5000  6 Tb 3.52-3.54, 6 Tm 3.52-3.53
8 Tb 0.5000 0.5000 0.5000  6 Tm 3.52-3.54, 6 Tb 3.52-3.53
9 Tb 0.1673 0.8327 0.5000  6 Tb 3.52-3.54, 6 Tm 3.52-3.53
10 Dy 0.6667 0.3333 0.0000  6 Tm 3.51-3.52, 3 Th 3.53, 3 Dy 3.53
11 Dy 0.3333 0.6667 0.0000  6 Tm 3.51-3.52, 3 Th 3.53, 3 Dy 3.53
12 Th 0.0000 0.0000 0.0000  6 Tm 3.50, 6 Dy 3.53

Computed properties:
Energy of formation from the pure elements = 0.023 eV/atom

---

Entry 2:
DFT (PBE) results for a geometry-optimized KLa2Hg structure.

a b c (Å): 9.3459 9.3459 7.4703
angles (deg): 51.28 51.28 90.00
With the nearest neighbours (Å) after each atom.
Fractional coordinates of all 8 atoms:
1 Hg 0.0000 0.0000 0.0000  4 La 3.15, 2 K 3.48
2 Hg 0.7500 0.2500 0.5000  4 La 3.15, 2 K 3.48
3 La 0.3750 0.3309 0.7500  2 Hg 3.15
4 La 0.0809 0.6250 0.2500  2 Hg 3.15
5 La 0.8750 0.9191 0.7500  2 Hg 3.15
6 La 0.6691 0.1250 0.2500  2 Hg 3.15
7 K 0.5000 0.5000 0.0000  2 Hg 3.48, 4 La 3.71
8 K 0.2500 0.7500 0.5000  2 Hg 3.48, 4 La 3.71

Computed properties:
Energy of formation from the pure elements = 0.179 eV/atom

---

Entry 3:
DFT (PBE) results for a geometry-optimized Th2NbTe2Br4 structure.

a b c (Å): 3.7788 3.7788 24.0977
angles (deg): 90.00 90.00 120.00
With the nearest neighbours (Å) after each atom.
Fractional coordinates of all 9 atoms:
1 Br 0.0000 0.0000 0.7361  3 Th 3.04
2 Br 0.6667 0.3333 0.0721  3 Th 3.04
3 Br 0.6667 0.3333 0.8964  3 Th 3.04
4 Br 0.0000 0.0000 0.5605  3 Th 3.03
5 Th 0.6667 0.3333 0.6480  6 Br 3.03-3.04
6 Th 0.0000 0.0000 0.9845  6 Br 3.04
7 Nb 0.0000 0.0000 0.3265  6 Te 2.84
8 Te 0.6667 0.3333 0.4018  3 Nb 2.84
9 Te 0.6667 0.3333 0.2512  3 Nb 2.84

Computed properties:
Raw formation energy = -1.09 eV/atom

---

Entry 4:
DFT (PBE) results for a geometry-optimized Li2MgHg8 structure.

a b c (Å): 4.5480 6.9477 8.5943
angles (deg): 107.28 105.34 90.00
With the nearest neighbours (Å) after each atom.
Fractional coordinates of all 11 atoms:
1 Hg 0.6049 0.4536 0.2098  2 Li 2.96, 5 Hg 3.07-3.19, 1 Mg 3.09
2 Hg 0.3307 0.0820 0.6614  3 Li 2.98-3.08, 1 Mg 3.03, 6 Hg 3.07-3.20
3 Hg 0.9701 0.2550 0.9401  2 Mg 3.02, 6 Hg 3.19-3.35, 1 Li 3.20
4 Hg 0.3951 0.5464 0.7902  2 Li 2.96, 5 Hg 3.07-3.19, 1 Mg 3.09
5 Hg 0.8314 0.7700 0.6627  3 Li 2.88-2.97, 5 Hg 3.12-3.16
6 Hg 0.6693 0.9180 0.3386  3 Li 2.98-3.08, 1 Mg 3.03, 6 Hg 3.07-3.20
7 Hg 0.1686 0.2300 0.3373  3 Li 2.88-2.97, 5 Hg 3.12-3.16
8 Hg 0.0299 0.7450 0.0599  2 Mg 3.02, 6 Hg 3.19-3.35, 1 Li 3.20
9 Li 0.2101 0.6641 0.4201  9 Hg 2.88-3.20
10 Li 0.7899 0.3359 0.5799  9 Hg 2.88-3.20
11 Mg 0.5000 0.0000 0.0000  8 Hg 3.02-3.09

Computed properties:
Energy of formation from the pure elements = -0.158 eV/atom

---

Entry 5:
DFT (PBE) results for a geometry-optimized Cr2CuTcI structure.

a b c (Å): 4.7124 5.1948 4.7124
angles (deg): 90.00 90.00 90.00
With the nearest neighbours (Å) after each atom.
Fractional coordinates of all 5 atoms:
1 I 0.0000 0.5000 0.0000  2 Tc 2.60
2 Cr 0.0000 0.0000 0.5000  2 Tc 2.36
3 Cr 0.5000 0.0000 0.0000  2 Tc 2.36
4 Cu 0.5000 0.5000 0.5000  4 I 3.33, 8 Cr 3.51
5 Tc 0.0000 0.0000 0.0000  4 Cr 2.36, 2 I 2.60

Computed properties:
Raw formation energy = 1.36 eV/atom

---

Entry 6:
DFT (PBE) results for a geometry-optimized CaReTe2 structure.

a b c (Å): 11.2321 11.2321 11.2321
angles (deg): 17.27 17.27 17.27
With the nearest neighbours (Å) after each atom.
Fractional coordinates of all 4 atoms:
1 Te 0.2350 0.2350 0.2350  3 Ca 3.28, 6 Te 3.37
2 Te 0.0273 0.0273 0.0273  3 Re 2.67
3 Ca 0.4888 0.4888 0.4888  3 Re 3.12, 3 Te 3.28, 6 Ca 3.37
4 Re 0.7489 0.7489 0.7489  3 Te 2.67

Computed properties:
Raw formation energy = 0.17 eV/atom
Energy above the lowest structure with this stoichiometry = 0.383 eV per atom

---

Entry 7:
DFT (PBE) results for a geometry-optimized K2NaAsF6 structure.

a b c (Å): 6.1223 6.1223 6.1223
angles (deg): 60.00 60.00 60.00
With the nearest neighbours (Å) after each atom.
Fractional coordinates of all 10 atoms:
1 F 0.7614 0.2386 0.7614  1 As 2.07, 1 Na 2.26
2 F 0.2386 0.7614 0.2386  1 As 2.07, 1 Na 2.26
3 F 0.7614 0.7614 0.2386  1 As 2.07, 1 Na 2.26
4 F 0.2386 0.7614 0.7614  1 As 2.07, 1 Na 2.26
5 F 0.2386 0.2386 0.7614  1 As 2.07, 1 Na 2.26
6 F 0.7614 0.2386 0.2386  1 As 2.07, 1 Na 2.26
7 Na 0.5000 0.5000 0.5000  6 F 2.26
8 As 0.0000 0.0000 0.0000  6 F 2.07
9 K 0.7500 0.7500 0.7500  12 F 3.06
10 K 0.2500 0.2500 0.2500  12 F 3.06

Computed properties:
Raw formation energy = -2.55 eV/atom

---

Entry 8:
DFT (PBE) results for a geometry-optimized ReB2IF structure.

a b c (Å): 4.4079 4.1788 4.4079
angles (deg): 90.00 90.00 90.00
With the nearest neighbours (Å) after each atom.
Fractional coordinates of all 5 atoms:
1 F 0.0000 0.5000 0.0000  2 I 2.09
2 B 0.0000 0.0000 0.5000  2 I 2.20
3 B 0.5000 0.0000 0.0000  2 I 2.20
4 I 0.0000 0.0000 0.0000  2 F 2.09, 4 B 2.20
5 Re 0.5000 0.5000 0.5000  8 B 3.04, 4 F 3.12

Computed properties:
Raw formation energy = 2.24 eV/atom